No. 1
HfTaN: optimized geometry, PBE-GGA.

a b c (Å): 3.153 5.478 5.942
angles (deg): 117.58 105.39 90.00
Positions (direct):
N  0.750  0.254  0.499
N  0.250  0.746  0.501
Ta  0.125  0.291  0.250
Ta  0.875  0.709  0.750
Hf  0.378  0.209  0.757
Hf  0.622  0.791  0.243

Symmetry   No. 12
Total magnetization   0.00 μB/f.u.
E above lowest polymorph   0.035 eV per atom

=====

No. 2
Hf3TaN: optimized geometry, PBE-GGA.

a b c (Å): 4.450 4.450 4.450
angles (deg): 90.00 90.00 90.00
Positions (direct):
Hf  0.000  0.500  0.000
Hf  0.000  0.000  0.500
Hf  0.500  0.000  0.000
N  0.000  0.000  0.000
Ta  0.500  0.500  0.500

Symmetry   No. 221
Total magnetization   0.00 μB/f.u.
E above lowest polymorph   0.000 eV per atom

=====

No. 3
HfTaN: optimized geometry, PBE-GGA.

a b c (Å): 3.490 3.490 7.880
angles (deg): 90.00 90.00 89.23
Positions (direct):
Ta  0.743  0.743  0.500
Ta  0.243  0.243  0.500
Hf  0.856  0.356  0.144
Hf  0.356  0.856  0.856
N  0.410  0.910  0.121
N  0.910  0.410  0.879

Symmetry   No. 39
Total magnetization   0.00 μB/f.u.
E above lowest polymorph   1.060 eV per atom

=====

No. 4
Hf5TaN6: optimized geometry, PBE-GGA.

a b c (Å): 5.536 5.529 5.533
angles (deg): 80.37 59.99 70.45
Positions (direct):
Hf  0.500  0.500  0.000
Hf  0.165  0.500  0.671
Hf  0.333  0.000  0.333
Hf  0.667  0.000  0.667
Hf  0.835  0.500  0.329
Ta  0.000  0.000  0.000
N  0.748  0.749  0.000
N  0.916  0.251  0.664
N  0.252  0.251  0.000
N  0.084  0.749  0.336
N  0.580  0.251  0.336
N  0.420  0.749  0.664

Symmetry   No. 12
Total magnetization   0.00 μB/f.u.

=====

Taking the records one at a time from the top gives uncorrected formation energy values of -1.094, -0.698, -0.069, -1.619 eV per atom.